Record 1
8
Lattice="-3.352 3.352 3.659 3.352 -3.352 3.659 3.352 3.352 -3.659" Properties=species:S:1:pos:R:3 comment="LaB2I (PBE-GGA, relaxed)" density_g_cm3=5.81 e_above_lowest_polymorph_ev_per_atom=0.0000 vol_a3_per_atom=20.55 e_form_raw_ev_per_atom=1.06 dft_energy_ev_per_cell=-31.1 total_magnetization_mub_per_fu=0.000 pbc="T T T"
La 0.000 0.000 0.000
La 0.000 3.352 1.829
B 1.676 -1.320 2.744
B 2.032 1.676 0.915
B 1.676 4.672 -0.915
B 1.320 1.676 4.573
I 3.352 0.000 1.829
I 0.000 0.000 3.659

Record 2
5
Lattice="5.245 0.000 0.000 0.000 5.245 0.000 0.000 0.000 5.245" Properties=species:S:1:pos:R:3 comment="LaBI3 (PBE-GGA, relaxed)" density_g_cm3=6.10 vol_a3_per_atom=28.86 e_form_raw_ev_per_atom=0.08 dft_energy_ev_per_cell=-15.9 total_magnetization_mub_per_fu=0.242 pbc="T T T"
La 0.000 0.000 0.000
B 2.623 2.623 2.623
I 0.000 2.623 2.623
I 2.623 0.000 2.623
I 2.623 2.623 0.000

Record 3
5
Lattice="5.362 0.000 0.000 0.000 5.362 0.000 0.000 0.000 5.362" Properties=species:S:1:pos:R:3 comment="La3BI (PBE-GGA, relaxed)" density_g_cm3=5.97 e_above_lowest_polymorph_ev_per_atom=0.0000 vol_a3_per_atom=30.83 e_form_raw_ev_per_atom=-0.18 dft_energy_ev_per_cell=-23.9 total_magnetization_mub_per_fu=0.000 pbc="T T T"
La 0.000 0.000 2.681
La 0.000 2.681 0.000
La 2.681 0.000 0.000
B 0.000 0.000 0.000
I 2.681 2.681 2.681